Record 1
Here is crystalline Mg4HgPb at its relaxed geometry from Alexandria. Energies are from PBE.

The structure belongs to space group C2/c (No. 15); the cell edges are 8.118, 12.450 and 6.050 Å and the angles 90.00°, 109.02° and 90.00°. The distinct sites, in fractional coordinates, are Mg at (0.104, 0.187, 0.058), Mg at (0.209, 0.387, 0.379), Hg at (0.000, 0.005, 0.750) and Pb at (0.000, 0.392, 0.750).

The calculation puts the energy above the most stable polymorph in this dataset at 17 meV/atom. As for the formation energy from the elements: -0.07 eV per atom.

***

Record 2
Here is crystalline AlCr2As at its relaxed geometry from Alexandria. Energies are from PBE.

The structure belongs to space group I-4m2 (No. 119); the cell edges are 3.643, 3.643 and 8.164 Å and the angles 90.00°, 90.00° and 90.00°. The distinct sites, in fractional coordinates, are Al at (0.000, 0.000, 0.000), Cr at (0.000, 0.000, 0.500), Cr at (0.000, 0.500, 0.250) and As at (0.000, 0.500, 0.750).

The calculation puts the energy above the most stable polymorph in this dataset at 155 meV/atom. As for the formation energy from the elements: 0.10 eV per atom.

***

Record 3
Here is crystalline MgTi2Cr at its relaxed geometry from Alexandria. Energies are from PBE.

The structure belongs to space group Fm-3m (No. 225); the cell edges are 6.331, 6.331 and 6.331 Å and the angles 90.00°, 90.00° and 90.00°. The distinct sites, in fractional coordinates, are Mg at (0.000, 0.000, 0.000), Ti at (0.250, 0.250, 0.250) and Cr at (0.000, 0.000, 0.500).

The calculation puts the energy above the most stable polymorph in this dataset at 185 meV/atom. As for the formation energy from the elements: 0.24 eV per atom.

***

Record 4
Here is crystalline CaO at its relaxed geometry from Alexandria. Energies are from PBE.

The structure belongs to space group I4/mcm (No. 140); the cell edges are 7.952, 7.952 and 4.779 Å and the angles 90.00°, 90.00° and 90.00°. The distinct sites, in fractional coordinates, are Ca at (0.148, 0.352, 0.000) and O at (0.147, 0.353, 0.500).

As for the formation energy (no corrections): -5.7 eV per formula unit.

***

Record 5
Here is crystalline NaHoTl4 at its relaxed geometry from Alexandria. Energies are from PBE.

The structure belongs to space group Pm (No. 6); the cell edges are 3.725, 5.159 and 8.896 Å and the angles 90.00°, 91.19° and 90.00°. The distinct sites, in fractional coordinates, are Na at (0.000, 0.000, 0.000), Ho at (0.915, 0.500, 0.568), Tl at (0.318, 0.500, 0.228), Tl at (0.382, 0.000, 0.667), Tl at (0.524, 0.500, 0.887) and Tl at (0.772, 0.000, 0.349).

As for the formation energy from the elements: -0.13 eV per atom.

***

Record 6
Here is crystalline SrCrI2 at its relaxed geometry from Alexandria. Energies are from PBE.

The structure belongs to space group I-42d (No. 122); the cell edges are 6.957, 6.957 and 14.090 Å and the angles 90.00°, 90.00° and 90.00°. The distinct sites, in fractional coordinates, are Sr at (0.000, 0.000, 0.000), Cr at (0.000, 0.000, 0.500) and I at (0.191, 0.250, 0.625).

The calculation puts the energy above the most stable polymorph in this dataset at 105 meV/atom. As for the formation energy (no corrections): -1.1 eV per formula unit.

***

| no. | magnetization (μB per formula unit) |
| --- | --- |
| 1 | 0.00 |
| 2 | 3.11 |
| 3 | 0.00 |
| 4 | 0.00 |
| 5 | 0.00 |
| 6 | 4.25 |